1.
VASP calculation (GGA-PBE) on a geometry-optimized Ce2MgSnN structure.

a = 4.5109 Å, b = 4.9083 Å, c = 4.9083 Å
α = 90.00°, β = 90.00°, γ = 90.00°
Fractional coordinates of all 5 atoms:
Sn: 0.5000 0.5000 0.5000
Mg: 0.5000 0.0000 0.0000
Ce: 0.0000 0.0000 0.5000
Ce: 0.0000 0.5000 0.0000
N: 0.0000 0.0000 0.0000


2.
VASP calculation (GGA-PBE) on a geometry-optimized Ce2MgTaN5 structure.

a = 3.4982 Å, b = 6.8739 Å, c = 10.1001 Å
α = 90.00°, β = 90.00°, γ = 104.74°
Fractional coordinates of all 18 atoms:
N: 0.2818 0.5637 0.6651
Ce: 0.1163 0.2326 0.6913
N: 0.7182 0.4363 0.1651
Ce: 0.8837 0.7674 0.1913
Ta: 0.5318 0.0636 0.9695
N: 0.9406 0.8812 0.5538
N: 0.3159 0.6318 0.3666
Ce: 0.1470 0.2939 0.2835
N: 0.0594 0.1188 0.0538
N: 0.6841 0.3682 0.8666
N: 0.5086 0.0172 0.2812
N: 0.4914 0.9828 0.7812
Ce: 0.8530 0.7061 0.7835
N: 0.3819 0.7637 0.0132
Mg: 0.2214 0.4429 0.9998
N: 0.6181 0.2363 0.5132
Ta: 0.4682 0.9364 0.4695
Mg: 0.7786 0.5571 0.4998


3.
VASP calculation (GGA-PBE) on a geometry-optimized CeMgTaN3 structure.

a = 3.3265 Å, b = 5.7646 Å, c = 8.4760 Å
α = 107.43°, β = 90.00°, γ = 90.00°
Fractional coordinates of all 12 atoms:
Ce: 0.7500 0.6743 0.6955
Ta: 0.7500 0.8443 0.3535
N: 0.7500 0.0112 0.1652
N: 0.2500 0.4742 0.8233
Mg: 0.2500 0.7741 0.0410
N: 0.7500 0.5258 0.1767
Mg: 0.7500 0.2259 0.9590
Ce: 0.2500 0.3257 0.3045
N: 0.2500 0.7520 0.4806
N: 0.7500 0.2480 0.5194
Ta: 0.2500 0.1557 0.6465
N: 0.2500 0.9888 0.8348


4.
VASP calculation (GGA-PBE) on a geometry-optimized CeMg2TcN4 structure.

a = 3.2989 Å, b = 6.0099 Å, c = 10.8439 Å
α = 90.00°, β = 90.00°, γ = 105.93°
Fractional coordinates of all 16 atoms:
N: 0.0000 0.0000 0.0000
Ce: 0.9187 0.8374 0.2500
Mg: 0.3856 0.7711 0.5326
N: 0.7210 0.4420 0.8788
N: 0.5755 0.1510 0.2500
Tc: 0.1779 0.3558 0.2500
Mg: 0.6144 0.2289 0.4674
Mg: 0.3856 0.7711 0.9674
Ce: 0.0813 0.1626 0.7500
Tc: 0.8221 0.6442 0.7500
N: 0.7210 0.4420 0.6212
Mg: 0.6144 0.2289 0.0326
N: 0.0000 0.0000 0.5000
N: 0.2790 0.5580 0.1212
N: 0.2790 0.5580 0.3788
N: 0.4245 0.8490 0.7500


5.
VASP calculation (GGA-PBE) on a geometry-optimized Ce2MgTiN5 structure.

a = 3.4996 Å, b = 6.7967 Å, c = 9.8232 Å
α = 90.00°, β = 90.00°, γ = 104.92°
Fractional coordinates of all 18 atoms:
Ce: 0.8796 0.7592 0.1919
Ce: 0.8609 0.7219 0.7892
Mg: 0.7861 0.5722 0.4984
N: 0.7104 0.4209 0.1635
N: 0.6232 0.2464 0.5035
N: 0.6843 0.3687 0.8547
N: 0.3157 0.6313 0.3547
Ti: 0.5266 0.0532 0.9797
Ce: 0.1204 0.2408 0.6919
N: 0.3768 0.7536 0.0035
Ce: 0.1391 0.2781 0.2892
N: 0.4981 0.9961 0.2853
Mg: 0.2139 0.4278 0.9984
N: 0.0525 0.1049 0.0577
N: 0.2896 0.5791 0.6635
N: 0.5019 0.0039 0.7853
N: 0.9475 0.8951 0.5577
Ti: 0.4734 0.9468 0.4797


6.
VASP calculation (GGA-PBE) on a geometry-optimized CeMgU2N5 structure.

a = 5.7617 Å, b = 6.4552 Å, c = 6.4552 Å
α = 90.00°, β = 90.00°, γ = 90.00°
Fractional coordinates of all 18 atoms:
Ce: 0.0000 0.0000 0.0000
Mg: 0.0000 0.0000 0.5000
N: 0.2484 0.8397 0.3397
Ce: 0.0000 0.5000 0.5000
N: 0.2484 0.3397 0.1603
U: 0.5000 0.3312 0.8312
N: 0.2484 0.1603 0.6603
U: 0.5000 0.8312 0.6688
N: 0.5000 0.5000 0.5000
N: 0.7516 0.1603 0.6603
N: 0.7516 0.8397 0.3397
Mg: 0.0000 0.5000 0.0000
U: 0.5000 0.6688 0.1688
N: 0.2484 0.6603 0.8397
N: 0.7516 0.6603 0.8397
N: 0.7516 0.3397 0.1603
N: 0.5000 0.0000 0.0000
U: 0.5000 0.1688 0.3312


7.
VASP calculation (GGA-PBE) on a geometry-optimized CeMg2UN4 structure.

a = 3.4293 Å, b = 5.6383 Å, c = 6.0233 Å
α = 68.90°, β = 90.00°, γ = 90.00°
Fractional coordinates of all 8 atoms:
U: 0.0000 0.5000 0.5000
Mg: 0.0000 0.0000 0.0000
N: 0.0000 0.7396 0.7278
Ce: 0.5000 0.5000 0.0000
Mg: 0.5000 0.0000 0.5000
N: 0.0000 0.2604 0.2722
N: 0.5000 0.2516 0.7412
N: 0.5000 0.7484 0.2588


8.
VASP calculation (GGA-PBE) on a geometry-optimized Ce3MgU3N8 structure.

a = 6.8026 Å, b = 6.8026 Å, c = 6.9210 Å
α = 119.43°, β = 90.00°, γ = 120.00°
Fractional coordinates of all 15 atoms:
Ce: 0.0000 0.0000 0.0000
N: 0.7343 0.9704 0.7066
N: 0.2362 0.9704 0.7066
N: 0.7416 0.4833 0.7249
Ce: 0.0000 0.5000 0.0000
U: 0.0000 0.5000 0.5000
N: 0.7639 0.5277 0.2934
N: 0.2657 0.0296 0.2934
N: 0.2584 0.5167 0.2751
U: 0.5000 0.5000 0.5000
Mg: 0.0000 0.0000 0.5000
Ce: 0.5000 0.5000 0.0000
U: 0.5000 0.0000 0.5000
N: 0.2361 0.4723 0.7066
N: 0.7638 0.0296 0.2934


9.
VASP calculation (GGA-PBE) on a geometry-optimized Ce3Mg2UN6 structure.

a = 5.8632 Å, b = 5.8632 Å, c = 6.0422 Å
α = 98.93°, β = 98.93°, γ = 120.26°
Fractional coordinates of all 12 atoms:
Mg: 0.6668 0.3332 0.0000
Ce: 0.8272 0.1728 0.5000
Ce: 0.1728 0.8272 0.5000
N: 0.0774 0.3913 0.2251
N: 0.2343 0.2343 0.7661
N: 0.6087 0.9226 0.7749
N: 0.3913 0.0774 0.2251
Ce: 0.5000 0.5000 0.5000
Mg: 0.3332 0.6668 0.0000
N: 0.7657 0.7657 0.2339
N: 0.9226 0.6087 0.7749
U: 0.0000 0.0000 0.0000


10.
VASP calculation (GGA-PBE) on a geometry-optimized Ce2MgWN5 structure.

a = 3.4313 Å, b = 6.8744 Å, c = 10.1929 Å
α = 90.00°, β = 90.00°, γ = 104.45°
Fractional coordinates of all 18 atoms:
Ce: 0.1126 0.2252 0.6892
N: 0.7198 0.4396 0.1669
W: 0.5301 0.0602 0.9605
Mg: 0.7813 0.5627 0.5074
N: 0.3238 0.6476 0.3745
Ce: 0.8489 0.6978 0.7907
N: 0.2802 0.5604 0.6669
N: 0.4887 0.9774 0.7813
N: 0.0537 0.1073 0.0466
Ce: 0.1511 0.3022 0.2907
N: 0.9463 0.8927 0.5466
N: 0.3820 0.7639 0.0070
Mg: 0.2187 0.4373 0.0074
W: 0.4699 0.9398 0.4605
Ce: 0.8874 0.7748 0.1892
N: 0.6762 0.3524 0.8745
N: 0.5113 0.0226 0.2813
N: 0.6180 0.2361 0.5070


11.
VASP calculation (GGA-PBE) on a geometry-optimized CeMgZrN3 structure.

a = 3.2291 Å, b = 6.5510 Å, c = 9.0098 Å
α = 93.41°, β = 90.00°, γ = 90.00°
Fractional coordinates of all 12 atoms:
Zr: 0.7500 0.3489 0.8859
N: 0.7500 0.8575 0.1837
Mg: 0.7500 0.8340 0.4268
N: 0.7500 0.3948 0.1187
N: 0.7500 0.1770 0.4242
Mg: 0.2500 0.1660 0.5732
Zr: 0.2500 0.6511 0.1141
N: 0.2500 0.6052 0.8813
N: 0.2500 0.8230 0.5758
N: 0.2500 0.1425 0.8163
Ce: 0.7500 0.8358 0.7656
Ce: 0.2500 0.1642 0.2344


12.
VASP calculation (GGA-PBE) on a geometry-optimized Ce2MgZrN4 structure.

a = 3.4036 Å, b = 5.8780 Å, c = 5.8874 Å
α = 70.35°, β = 90.00°, γ = 90.00°
Fractional coordinates of all 8 atoms:
N: 0.0000 0.7368 0.7454
Zr: 0.0000 0.5000 0.5000
Ce: 0.5000 0.0000 0.5000
N: 0.5000 0.2699 0.7381
N: 0.0000 0.2632 0.2546
Ce: 0.0000 0.0000 0.0000
Mg: 0.5000 0.5000 0.0000
N: 0.5000 0.7301 0.2619


Formation energy from raw total energies in kJ/mol of formula units, matching the order above: -401; -1048; -665; -442; -978; -959; -841; -1726; -1387; -894; -661; -1034